Pm2Tm3Sc4: optimized geometry, PBE-GGA.

Calculated values
**DOS(E_F)**: 1.66 states/eV per atom
**Relative energy among the computed polymorphs**: 5.59 kJ/mol of atoms

Cell and atoms, written as extended XYZ:
```
18
Lattice="7.171 6.050 0.500 -7.171 6.050 0.500 0.000 1.728 6.101" Properties=species:S:1:pos:R:3 pbc="T T T"
Pm 2.730 8.799 4.431
Pm 2.730 5.894 5.721
Pm -2.730 5.030 2.671
Pm -2.730 7.935 1.380
Tm 1.997 9.958 1.154
Tm 1.997 3.007 2.896
Tm -1.997 3.872 5.947
Tm -1.997 10.822 4.205
Tm -2.748 7.347 5.076
Tm 2.748 6.483 2.025
Sc 1.192 11.782 3.977
Sc 1.192 2.912 6.175
Sc -1.192 2.048 3.124
Sc -1.192 10.918 0.927
Sc 0.152 9.288 6.281
Sc 0.152 5.406 3.870
Sc -0.152 4.541 0.820
Sc -0.152 8.424 3.231
```

=====

Pm5Tm4Sc2: optimized geometry, PBE-GGA.

Calculated values
**DOS(E_F)**: 1.98 states/eV per atom
**Relative energy among the computed polymorphs**: 32.12 kJ/mol of atoms

Cell and atoms, written as extended XYZ:
```
11
Lattice="-3.263 0.119 1.168 -2.521 -2.370 -6.803 3.905 -11.898 6.979" Properties=species:S:1:pos:R:3 pbc="T T T"
Pm -0.403 -7.336 4.773
Pm -1.621 -8.481 1.487
Pm -0.258 -5.668 -0.143
Pm -1.476 -6.812 -3.429
Pm -1.631 0.060 0.584
Tm -0.798 -0.751 -2.154
Tm -2.693 -3.686 -1.999
Tm -1.723 -1.619 -4.648
Tm 0.814 -10.462 3.343
Sc -2.078 -11.593 0.527
Sc 0.199 -2.555 0.816
```

=====

Pm3Tm3Sc5: optimized geometry, PBE-GGA.

Calculated values
**DOS(E_F)**: 1.59 states/eV per atom

Cell and atoms, written as extended XYZ:
```
11
Lattice="3.290 0.000 0.000 0.000 10.721 0.000 0.000 -5.360 9.285" Properties=species:S:1:pos:R:3 pbc="T T T"
Pm 1.645 3.556 6.160
Pm 1.645 -1.804 3.125
Pm 1.645 3.608 0.000
Tm 0.000 2.145 3.715
Tm 0.000 6.431 0.000
Tm 0.000 -3.216 5.570
Sc 1.645 0.000 6.190
Sc 1.645 5.360 3.095
Sc 1.645 0.821 1.422
Sc 1.645 -4.539 7.862
Sc 1.645 9.079 0.000
```

=====

no.,uncorrected energy (eV per cell),DFT formation energy (eV per atom)
1,-93.50,0.17
2,-49.74,0.41
3,-55.38,0.36